The following is a PBE+U calculation of an optimized crystal structure of SrMnSbF, from Alexandria.

Lattice parameters (Å, degrees): 4.435 4.435 9.623 90.00 90.00 90.00
Last column: magnetic moment on the atom in μB.
Sites, in units of the cell vectors:
Sb (0.500, 0.000, 0.686)  -0.01
Sb (0.000, 0.500, 0.314)  -0.01
Sr (0.000, 0.500, 0.867)  0.01
Sr (0.500, 0.000, 0.133)  0.01
Mn (0.000, 0.000, 0.500)  4.49
Mn (0.500, 0.500, 0.500)  4.49
F (0.000, 0.000, 0.000)  0.00
F (0.500, 0.500, 0.000)  0.00

Computed properties:
The density comes out at 4.972 g/cm³. The calculation puts the total DFT energy (no corrections) at -43.86 eV/cell.